Record 1
Entry from the Alexandria database: crystalline BaPt3Au at its relaxed geometry (PBE).

Its relative energy among the computed polymorphs is 0.0 meV/atom. The volume comes out at 131.2 Å³/cell. The total energy is -4.39 eV per atom.

The space group is Pm-3m (No. 221) and the conventional cell measures 5.0807, 5.0807 and 5.0807 Å, with angles of 90.00, 90.00 and 90.00 degrees. Symmetry generates all atoms from Ba at (0.0000, 0.0000, 0.0000), Pt at (0.0000, 0.5000, 0.5000) and Au at (0.5000, 0.5000, 0.5000).



Record 2
Entry from the Alexandria database: crystalline Sc2ZnBi at its relaxed geometry (PBE).

Its relative energy among the computed polymorphs is 620.7 meV/atom. The volume comes out at 367.9 Å³/cell. The total energy is -4.21 eV per atom.

The space group is R-3m (No. 166, hexagonal axes) and the conventional cell measures 3.8675, 3.8675 and 28.4041 Å, with angles of 90.00, 90.00 and 120.00 degrees. Symmetry generates all atoms from Sc at (0.0000, 0.0000, 0.1002), Zn at (0.0000, 0.0000, 0.0000) and Bi at (0.0000, 0.0000, 0.5000).



Record 3
Entry from the Alexandria database: crystalline YFe2Au2 at its relaxed geometry (PBE).

The volume comes out at 176.1 Å³/cell. The total energy is -6.04 eV per atom.

The space group is P4/mbm (No. 127) and the conventional cell measures 7.5308, 7.5308 and 3.1056 Å, with angles of 90.00, 90.00 and 90.00 degrees. Symmetry generates all atoms from Y at (0.0000, 0.0000, 0.0000), Fe at (0.1100, 0.3900, 0.0000) and Au at (0.1826, 0.6826, 0.5000).